First-principles (PBE) data for Cd3Pd8Au2 after structural relaxation, as listed in the Alexandria database.

The space group is R-3m (No. 166, hexagonal axes) and the conventional cell measures 5.2044, 5.2044 and 30.4629 Å, with angles of 90.00, 90.00 and 120.00 degrees. The inequivalent atoms are Cd at (0.0000, 0.0000, 0.0000), Cd at (0.0000, 0.0000, 0.1825), Pd at (0.0000, 0.0000, 0.2721), Pd at (0.0010, 0.5005, 0.7692) and Au at (0.0000, 0.0000, 0.3593).

For the uncorrected energy, the calculation gives -3.939 eV per atom. For the formation energy, the calculation gives -0.028 eV/atom. As for the magnetization: 0.0 Bohr magnetons per cell.

=====

First-principles (PBE) data for Cd12Pd5Au2 after structural relaxation, as listed in the Alexandria database.

The space group is C2/m (No. 12) and the conventional cell measures 13.2553, 8.1353 and 6.9273 Å, with angles of 90.00, 92.55 and 90.00 degrees. The inequivalent atoms are Cd at (0.0586, 0.0000, 0.2730), Cd at (0.1083, 0.2170, 0.6118), Cd at (0.1275, 0.5000, 0.8693), Cd at (0.1863, 0.2952, 0.2141), Pd at (0.0000, 0.5000, 0.5000), Pd at (0.1637, 0.0000, 0.9325), Pd at (0.2403, 0.5000, 0.5395) and Au at (0.0000, 0.2466, 0.0000).

For the uncorrected energy, the calculation gives -2.496 eV per atom. For the formation energy, the calculation gives -0.206 eV/atom. As for the magnetization: 0.0 Bohr magnetons per cell.

=====

First-principles (PBE) data for Cd8PdAu5 after structural relaxation, as listed in the Alexandria database.

The space group is I-4 (No. 82) and the conventional cell measures 8.3830, 8.3830 and 8.3135 Å, with angles of 90.00, 90.00 and 90.00 degrees. The inequivalent atoms are Cd at (0.0785, 0.1668, 0.2114), Cd at (0.0801, 0.3251, 0.5454), Pd at (0.0000, 0.0000, 0.5000), Au at (0.0000, 0.5000, 0.2500) and Au at (0.1230, 0.2508, 0.8794).

For the uncorrected energy, the calculation gives -2.212 eV per atom. For the formation energy, the calculation gives -0.147 eV/atom. As for the magnetization: 0.0 Bohr magnetons per cell.

=====

First-principles (PBE) data for Cd2Pd5Au3 after structural relaxation, as listed in the Alexandria database.

The space group is Ibam (No. 72) and the conventional cell measures 10.5801, 13.5839 and 5.2838 Å, with angles of 90.00, 90.00 and 90.00 degrees. The inequivalent atoms are Cd at (0.1199, 0.2409, 0.0000), Pd at (0.0000, 0.5000, 0.2500), Pd at (0.1345, 0.1518, 0.5000), Pd at (0.2469, 0.5000, 0.2500), Au at (0.0000, 0.0000, 0.2500) and Au at (0.1260, 0.3478, 0.5000).

For the uncorrected energy, the calculation gives -3.729 eV per atom. The excess energy over the best structure of this formula in the dataset comes out at 0.1578 eV/atom. For the formation energy, the calculation gives 0.033 eV/atom. As for the magnetization: 0.0 Bohr magnetons per cell.

=====

First-principles (PBE) data for Cd4PdAu after structural relaxation, as listed in the Alexandria database.

The space group is C2/m (No. 12) and the conventional cell measures 12.2919, 3.1422 and 6.3453 Å, with angles of 90.00, 105.48 and 90.00 degrees. The inequivalent atoms are Cd at (0.1543, 0.0000, 0.3366), Cd at (0.1578, 0.0000, 0.8228), Pd at (0.0000, 0.5000, 0.5000) and Au at (0.0000, 0.5000, 0.0000).

For the uncorrected energy, the calculation gives -2.210 eV per atom. The excess energy over the best structure of this formula in the dataset comes out at 0.0000 eV/atom. For the formation energy, the calculation gives -0.188 eV/atom. As for the magnetization: 0.0 Bohr magnetons per cell.

=====

First-principles (PBE) data for CdPdAu after structural relaxation, as listed in the Alexandria database.

The space group is F-43m (No. 216) and the conventional cell measures 6.3347, 6.3347 and 6.3347 Å, with angles of 90.00, 90.00 and 90.00 degrees. The inequivalent atoms are Cd at (0.0000, 0.0000, 0.0000), Pd at (0.2500, 0.2500, 0.7500) and Au at (0.0000, 0.0000, 0.5000).

For the uncorrected energy, the calculation gives -3.210 eV per atom. The excess energy over the best structure of this formula in the dataset comes out at 0.1852 eV/atom. For the formation energy, the calculation gives -0.081 eV/atom. As for the magnetization: 0.0 Bohr magnetons per cell.

=====

First-principles (PBE) data for CdPd3Au5 after structural relaxation, as listed in the Alexandria database.

The space group is I4/mcm (No. 140) and the conventional cell measures 6.7326, 6.7326 and 15.1908 Å, with angles of 90.00, 90.00 and 90.00 degrees. The inequivalent atoms are Cd at (0.0000, 0.5000, 0.2500), Pd at (0.0000, 0.0000, 0.2500), Pd at (0.1286, 0.3714, 0.0000), Au at (0.0000, 0.0000, 0.0000) and Au at (0.2355, 0.2645, 0.3515).

For the uncorrected energy, the calculation gives -3.495 eV per atom. For the formation energy, the calculation gives 0.158 eV/atom. As for the magnetization: 0.0 Bohr magnetons per cell.

=====

First-principles (PBE) data for Cd6PdAu8 after structural relaxation, as listed in the Alexandria database.

The space group is R-3 (No. 148, hexagonal axes) and the conventional cell measures 7.9039, 7.9039 and 17.2062 Å, with angles of 90.00, 90.00 and 120.00 degrees. The inequivalent atoms are Cd at (0.0114, 0.7118, 0.1207), Pd at (0.0000, 0.0000, 0.5000), Au at (0.0000, 0.0000, 0.2314) and Au at (0.0038, 0.3230, 0.3755).

For the uncorrected energy, the calculation gives -2.528 eV per atom. For the formation energy, the calculation gives -0.068 eV/atom. As for the magnetization: 0.0 Bohr magnetons per cell.